# Ce2GaPb | Alexandria via LeMat-Bulk | PBE | optimized geometry
data_Ce2GaPb
_chemical_formula_sum 'Ce8 Ga4 Pb4'
_symmetry_space_group_name_H-M 'F m -3 m'
_symmetry_Int_Tables_number 225
_symmetry_space_group_name_Hall '-F 4 2 3'
_cell_length_a 7.611
_cell_length_b 7.611
_cell_length_c 7.611
_cell_angle_alpha 90.00
_cell_angle_beta 90.00
_cell_angle_gamma 90.00
loop_
_atom_site_label
_atom_site_type_symbol
_atom_site_fract_x
_atom_site_fract_y
_atom_site_fract_z
Ce1 Ce 0.250 0.250 0.250
Ga1 Ga 0.000 0.000 0.000
Pb1 Pb 0.000 0.000 0.500
# - DOS(E_F) (states/eV per atom) = 3.372
# - energy relative to the lowest polymorph listed for this composition (meV per atom) = 97.8
# - theoretical density (g/cm3) = 8.39
# - calculated total energy (eV per atom) = -4.9907
# - formation energy (meV/atom) = -340


# Ce7Ga2Pb2 | Alexandria via LeMat-Bulk | PBE | optimized geometry
data_Ce7Ga2Pb2
_chemical_formula_sum 'Ce14 Ga4 Pb4'
_symmetry_space_group_name_H-M 'C m m m'
_symmetry_Int_Tables_number 65
_symmetry_space_group_name_Hall '-C 2 2'
_cell_length_a 8.999
_cell_length_b 11.321
_cell_length_c 6.633
_cell_angle_alpha 90.00
_cell_angle_beta 90.00
_cell_angle_gamma 90.00
loop_
_atom_site_label
_atom_site_type_symbol
_atom_site_fract_x
_atom_site_fract_y
_atom_site_fract_z
Ce1 Ce 0.000 0.000 0.000
Ce2 Ce 0.000 0.500 0.286
Ce3 Ce 0.250 0.250 0.293
Ga1 Ga 0.000 0.280 0.000
Pb1 Pb 0.166 0.000 0.500
# - DOS(E_F) (states/eV per atom) = 3.116
# - theoretical density (g/cm3) = 7.54
# - calculated total energy (eV per atom) = -5.0883
# - formation energy (meV/atom) = -88


# Ce3GaPb2 | Alexandria via LeMat-Bulk | PBE | optimized geometry
data_Ce3GaPb2
_chemical_formula_sum 'Ce3 Ga1 Pb2'
_symmetry_space_group_name_H-M 'P 4/m m m'
_symmetry_Int_Tables_number 123
_symmetry_space_group_name_Hall '-P 4 2'
_cell_length_a 3.487
_cell_length_b 3.487
_cell_length_c 13.554
_cell_angle_alpha 90.00
_cell_angle_beta 90.00
_cell_angle_gamma 90.00
loop_
_atom_site_label
_atom_site_type_symbol
_atom_site_fract_x
_atom_site_fract_y
_atom_site_fract_z
Ce1 Ce 0.000 0.000 0.000
Ce2 Ce 0.000 0.000 0.354
Ga1 Ga 0.500 0.500 0.500
Pb1 Pb 0.500 0.500 0.175
# - DOS(E_F) (states/eV per atom) = 2.987
# - theoretical density (g/cm3) = 9.11
# - calculated total energy (eV per atom) = -5.1259
# - formation energy (meV/atom) = -418


# Ce2GaPb | Alexandria via LeMat-Bulk | PBE | optimized geometry
data_Ce2GaPb
_chemical_formula_sum 'Ce2 Ga1 Pb1'
_symmetry_space_group_name_H-M 'P 4/m m m'
_symmetry_Int_Tables_number 123
_symmetry_space_group_name_Hall '-P 4 2'
_cell_length_a 3.406
_cell_length_b 3.406
_cell_length_c 8.961
_cell_angle_alpha 90.00
_cell_angle_beta 90.00
_cell_angle_gamma 90.00
loop_
_atom_site_label
_atom_site_type_symbol
_atom_site_fract_x
_atom_site_fract_y
_atom_site_fract_z
Ce1 Ce 0.000 0.000 0.225
Ga1 Ga 0.500 0.500 0.000
Pb1 Pb 0.500 0.500 0.500
# - DOS(E_F) (states/eV per atom) = 2.478
# - energy relative to the lowest polymorph listed for this composition (meV per atom) = 0.0
# - theoretical density (g/cm3) = 8.90
# - calculated total energy (eV per atom) = -5.0885
# - formation energy (meV/atom) = -438